A PBEsol-optimized structure of CuP2Pt. Source: Alexandria, functional meta-GGA SCAN.

Output
distance to the lowest polymorph of the same formula: 0.0000 eV per atom
raw total energy: -26.686 eV per atom
crystal system: monoclinic
calculated formation energy: -139 meV/atom
size of the total moment: 0.0000 μB per atom

abc: 3.891 3.897 3.957
angles: 89.99 90.00 90.00
Sites, in units of the cell vectors:
Pt1 0.500 0.000 0.000
P1 0.000 0.813 0.702
Cu1 0.500 0.500 0.500
P2 0.000 0.187 0.298